(1)
TaAl2Ir | PBE | relaxed

Lattice parameters (Å, degrees): 2.9006 2.9006 26.5561 90.00 90.00 120.00
Space group R3m (No. 160, hexagonal axes)
Asymmetric unit:
1 Ta 0.0000 0.0000 0.0000 x3
2 Al 0.0000 0.0000 0.2455 x3
3 Al 0.0000 0.0000 0.4917 x3
4 Ir 0.0000 0.0000 0.7492 x3

## Properties
N(E_F) (states/eV/cell): 7.2
Volume (Å³ per cell): 193.5
Distance to the lowest polymorph of the same formula (meV/atom): 286
Calculated formation energy (meV/atom): -318
Density (g cm⁻³): 11.0
Crystal system: trigonal

---

(2)
TaAl2Ir | PBE | relaxed

Lattice parameters (Å, degrees): 5.427 8.095 2.867 90.00 90.00 90.00
Space group Cmmm (No. 65)
Asymmetric unit:
1 Ta 0.000 0.000 0.000 x2
2 Al 0.250 0.250 0.500 x4
3 Ir 0.000 0.500 0.000 x2

## Properties
N(E_F) (states/eV/cell): 4.5
Volume (Å³ per cell): 125.9
Distance to the lowest polymorph of the same formula (meV/atom): 282
Calculated formation energy (meV/atom): -322
Density (g cm⁻³): 11.3
Crystal system: orthorhombic

---

(3)
Ta5Al3Ir12 | PBE | relaxed

Lattice parameters (Å, degrees): 14.601 14.601 14.601 90.00 90.00 90.00
Space group Ia-3d (No. 230)
Asymmetric unit:
1 Ta 0.000 0.000 0.000 x16
2 Ta 0.000 0.250 0.375 x24
3 Al 0.000 0.250 0.125 x24
4 Ir 0.018 0.087 0.650 x96

## Properties
N(E_F) (states/eV/cell): 151.2
Volume (Å³ per cell): 3112.6
Calculated formation energy (meV/atom): 267
Density (g cm⁻³): 14.1
Crystal system: cubic